Record 1
LiZr2AgO | Alexandria via LeMat-Bulk | PBE | relaxed; size of the total moment = 0.000 μB per cell; crystal system = tetragonal; calculated density = 6.5 g/cm³; SG = P4/mmm; DFT total energy = -6.40 eV/atom; raw formation energy = -1.035 eV/atom
1.0
4.484 0.000 0.000
0.000 4.484 0.000
0.000 0.000 4.002
Zr Li Ag O
2 1 1 1
Direct
0.000 0.500 0.000
0.500 0.000 0.000
0.000 0.000 0.500
0.500 0.500 0.500
0.000 0.000 0.000



Record 2
ZnBRh2 | Alexandria via LeMat-Bulk | PBE | relaxed; size of the total moment = 0.000 μB per cell; crystal system = trigonal; calculated density = 9.2 g/cm³; relative energy among the computed polymorphs = 0.0835 eV per atom; SG = R3m; DFT total energy = -6.01 eV/atom; energy of formation = -0.35 eV per atom
1.0
-0.045 2.360 1.838
-2.054 0.168 2.169
3.376 -2.273 5.435
B Zn Rh
1 1 2
Direct
0.666 0.666 0.001
0.500 0.500 0.499
0.271 0.271 0.188
0.063 0.063 0.812



Record 3
TiFe2CoBi | Alexandria via LeMat-Bulk | PBE | relaxed; size of the total moment = 4.367 μB per cell; crystal system = tetragonal; calculated density = 8.0 g/cm³; SG = P4/mmm; DFT total energy = -6.21 eV/atom; energy of formation = 0.95 eV per atom
1.0
-2.632 -2.282 -2.821
0.702 -3.687 2.328
-3.557 0.939 2.560
Co Fe Ti Bi
1 2 1 1
Direct
0.000 0.500 0.000
0.500 0.000 0.000
0.000 0.000 0.500
0.000 0.000 0.000
0.500 0.500 0.500



Record 4
NbNiHRu2 | Alexandria via LeMat-Bulk | PBE | relaxed; size of the total moment = 0.000 μB per cell; crystal system = tetragonal; calculated density = 9.9 g/cm³; relative energy among the computed polymorphs = 0.0913 eV per atom; SG = P4/mmm; DFT total energy = -7.66 eV/atom
1.0
3.876 0.000 0.000
0.000 3.876 0.000
0.000 0.000 3.947
H Ru Nb Ni
1 2 1 1
Direct
0.000 0.000 0.000
0.500 0.000 0.000
0.000 0.500 0.000
0.000 0.000 0.500
0.500 0.500 0.500